# Al3Cu

A geometry-optimized Al3Cu structure (GGA-PBEsol, Alexandria via LeMat-Bulk).

It has space group P4/mmm (No. 123), with a = 2.773 Å, b = 2.773 Å, c = 7.600 Å, α = 90.00°, β = 90.00° and γ = 90.00°. The inequivalent atoms are Al at (0.000, 0.000, 0.000), Al at (0.500, 0.500, 0.278) and Cu at (0.000, 0.000, 0.500).

Its formation energy is -97 meV per atom. The calculated total energy is -17.0 eV/f.u.